(1)
# Li3AuN

A relaxed structure of Li3AuN (PBE, the Alexandria database).

Lattice parameters (Å, degrees): 4.7292 4.7292 4.7292 90.00 90.00 90.00
Each line ends with the local moment (μB).
Atoms (fractional coordinates):
Li (0.0000, 0.5000, 0.0000)  -0.02
Li (0.5000, 0.0000, 0.0000)  -0.03
Li (0.0000, 0.0000, 0.5000)  -0.02
Au (0.0000, 0.0000, 0.0000)  -0.05
N (0.5000, 0.5000, 0.5000)  1.08

Results
raw total energy = -13.755 eV per cell
excess energy over the best structure of this formula in the dataset = 0.959 eV/atom
energy relative to the elements, uncorrected = 0.7178 eV per atom


(2)
# Li4Au2N

A relaxed structure of Li4Au2N (PBE, the Alexandria database).

Lattice parameters (Å, degrees): 3.7642 3.7642 8.3216 76.93 76.93 90.00
Atoms (fractional coordinates):
N (0.0000, 0.0000, 0.0000)
Li (0.0000, 0.5000, 0.0000)
Li (0.8771, 0.8771, 0.2458)
Au (0.2827, 0.2827, 0.4346)
Au (0.7173, 0.7173, 0.5654)
Li (0.1229, 0.1229, 0.7542)
Li (0.5000, 0.0000, 0.0000)

Results
raw total energy = -24.482 eV per cell
energy relative to the elements, uncorrected = -0.2782 eV per atom


(3)
# LiAuN2

A relaxed structure of LiAuN2 (PBE, the Alexandria database).

Lattice parameters (Å, degrees): 5.0086 5.0086 5.0086 41.23 41.23 41.23
Atoms (fractional coordinates):
Li (0.5000, 0.5000, 0.5000)
N (0.1479, 0.1479, 0.1479)
N (0.8521, 0.8521, 0.8521)
Au (0.0000, 0.0000, 0.0000)

Results
raw total energy = -17.612 eV per cell
excess energy over the best structure of this formula in the dataset = 0.157 eV/atom
energy relative to the elements, uncorrected = 1.0574 eV per atom


(4)
# Li8AuN2

A relaxed structure of Li8AuN2 (PBE, the Alexandria database).

Lattice parameters (Å, degrees): 3.9887 6.0051 6.0051 113.44 94.38 94.38
Atoms (fractional coordinates):
Li (0.9454, 0.9594, 0.6586)
Li (0.5000, 0.7236, 0.2764)
N (0.0000, 0.6778, 0.3222)
Au (0.5000, 0.0000, 0.0000)
Li (0.9454, 0.6586, 0.9594)
Li (0.0546, 0.0406, 0.3414)
Li (0.5000, 0.2764, 0.7236)
Li (0.0546, 0.3414, 0.0406)
N (0.0000, 0.3222, 0.6778)
Li (0.2371, 0.5966, 0.5966)
Li (0.7629, 0.4034, 0.4034)

Results
raw total energy = -39.207 eV per cell
excess energy over the best structure of this formula in the dataset = 0.000 eV/atom
energy relative to the elements, uncorrected = -0.3608 eV per atom


(5)
# LiAuN2

A relaxed structure of LiAuN2 (PBE, the Alexandria database).

Lattice parameters (Å, degrees): 4.6300 4.6300 5.9802 67.23 67.23 90.00
Each line ends with the local moment (μB).
Atoms (fractional coordinates):
N (0.3750, 0.3620, 0.7500)  0.18
N (0.6380, 0.1250, 0.2500)  0.15
Au (0.0000, 0.0000, 0.0000)  0.11
Li (0.5000, 0.5000, 0.0000)  0.01
N (0.8750, 0.8880, 0.7500)  0.17
Au (0.7500, 0.2500, 0.5000)  0.11
N (0.1120, 0.6250, 0.2500)  0.14
Li (0.2500, 0.7500, 0.5000)  0.01

Results
raw total energy = -34.384 eV per cell
excess energy over the best structure of this formula in the dataset = 0.262 eV/atom
energy relative to the elements, uncorrected = 1.1624 eV per atom


(6)
# Li8AuN2

A relaxed structure of Li8AuN2 (PBE, the Alexandria database).

Lattice parameters (Å, degrees): 4.8217 6.1112 5.8644 112.80 103.99 109.09
Atoms (fractional coordinates):
Li (0.9610, 0.9908, 0.6132)
Li (0.8573, 0.9184, 0.2043)
Li (0.9087, 0.4542, 0.4092)
N (0.2256, 0.2704, 0.5404)
Au (0.4077, 0.9541, 0.9092)
Li (0.4087, 0.9540, 0.4086)
Li (0.2560, 0.2866, 0.2049)
N (0.5931, 0.6390, 0.2778)
Li (0.2255, 0.5158, 0.9087)
Li (0.5936, 0.3928, 0.9095)
Li (0.5629, 0.6237, 0.6142)

Results
raw total energy = -38.549 eV per cell
excess energy over the best structure of this formula in the dataset = 0.060 eV/atom
energy relative to the elements, uncorrected = -0.3009 eV per atom


Question: What is the formula in the fourth record?
Answer: Li8AuN2


Question: The highest energy relative to the elements, uncorrected belongs to which entry?
Answer: number 5


Question: Among the records above, which one has the highest raw total energy?
Answer: Li3AuN